A plane-wave DFT calculation with GGA-PBE was carried out for crystalline AcSm2Tm7 at its relaxed geometry.

## Properties
N(E_F): 15.68 states/eV/cell
crystal system: orthorhombic
space group: No. 71
formation energy from the elements: 311.3 kJ/mol of formula units

```
AcSm2Tm7
1.0
3.6073 0.5539 0.3835
0.7555 9.7047 -3.5685
0.7555 0.0766 10.3397
Ac Sm Tm
1 2 7
direct
0.0000 0.0000 0.0000
0.5000 0.1841 0.8159
0.5000 0.8159 0.1841
0.0000 0.3412 0.6588
0.2547 0.9058 0.5852
0.7453 0.0942 0.4148
0.7452 0.4148 0.0942
0.5000 0.5000 0.5000
0.2548 0.5852 0.9058
0.0000 0.6588 0.3412
```

A plane-wave DFT calculation with GGA-PBE was carried out for crystalline AcSm2Tm at its relaxed geometry.

## Properties
N(E_F): 5.43 states/eV/cell
crystal system: trigonal
space group: No. 160
formation energy from the elements: 21.9 kJ/mol of formula units
ΔE to the lowest computed polymorph: 1.1 kJ per mole of atoms

```
AcSm2Tm
1.0
-2.2410 -1.9271 2.2352
1.4330 -2.1252 2.6762
-0.6776 7.8864 9.1913
Sm Ac Tm
2 1 1
direct
0.0789 0.0789 0.7633
0.2545 0.2545 0.2366
0.5002 0.5002 0.4995
0.6665 0.6665 0.0006
```

A plane-wave DFT calculation with GGA-PBE was carried out for crystalline Ac2Sm2Tm at its relaxed geometry.

## Properties
N(E_F): 17.46 states/eV/cell
crystal system: monoclinic
space group: No. 15
formation energy from the elements: 32.1 kJ/mol of formula units
ΔE to the lowest computed polymorph: 0.0 kJ per mole of atoms

```
Ac2Sm2Tm
1.0
6.6055 0.0000 0.0000
-3.3027 7.9212 -2.2693
0.0000 0.1603 7.1407
Tm Ac Sm
2 4 4
direct
0.5887 0.0000 0.7500
0.4113 0.0000 0.2500
0.2173 0.6099 0.8477
0.6074 0.3901 0.6523
0.7827 0.3901 0.1523
0.3926 0.6099 0.3477
0.8224 0.8123 0.0508
0.1776 0.1877 0.9492
0.0100 0.1877 0.4492
0.9900 0.8123 0.5508
```

A plane-wave DFT calculation with GGA-PBE was carried out for crystalline Ac7Sm2Tm2 at its relaxed geometry.

## Properties
N(E_F): 18.51 states/eV/cell
crystal system: monoclinic
space group: No. 12
formation energy from the elements: 273.5 kJ/mol of formula units

```
Ac7Sm2Tm2
1.0
6.6373 0.0310 0.7917
0.4992 8.2957 1.7064
-0.2706 0.2156 8.4771
Ac Tm Sm
7 2 2
direct
0.7521 0.4365 0.0909
0.7521 0.0909 0.4365
0.2479 0.5635 0.9091
0.2479 0.9091 0.5635
0.0000 0.0000 0.0000
0.7378 0.5511 0.5511
0.2622 0.4489 0.4489
0.5000 0.8259 0.1741
0.5000 0.1741 0.8259
0.7045 0.8011 0.8011
0.2955 0.1989 0.1989
```